A geometry-optimized Ce2ZnCoAg structure, computed with PBE.

Cell lengths 7.665, 3.843, 7.901 Å; angles 90.00, 112.98, 90.00 degrees
Positions (direct):
Ce: 0.007 0.250 0.217
Ce: 0.343 0.750 0.609
Ce: 0.657 0.250 0.391
Ce: 0.993 0.750 0.783
Zn: 0.360 0.250 0.940
Zn: 0.640 0.750 0.060
Co: 0.106 0.250 0.615
Co: 0.894 0.750 0.385
Ag: 0.322 0.750 0.178
Ag: 0.678 0.250 0.822

Values from the calculation:
Space group = P2_1/m, No. 11
Energy relative to the elements = -0.209 eV per atom